This record from the Alexandria database describes a relaxed structure of Ta2TcTe. The functional is PBE-GGA.

Summary:
VASP energy (eV per atom): -9.13
Energy relative to the elements, uncorrected (meV per atom): 174
Volume (Å³ per atom): 18.77
Total magnetic moment (Bohr magnetons per cell): 0.0

The structure in POSCAR format:
```
Ta2TcTe
1.0
3.269 0.000 0.000
0.000 4.090 0.000
0.000 0.000 5.615
Ta Tc Te
2 1 1
Cartesian
0.000 0.000 0.000 Ta
1.634 2.045 1.333 Ta
0.000 0.000 2.481 Tc
1.634 2.045 4.098 Te
```

This record from the Alexandria database describes a relaxed structure of TaTcTe3. The functional is PBE-GGA.

Summary:
VASP energy (eV per atom): -5.30
Energy relative to the elements, uncorrected (meV per atom): 1034
Volume (Å³ per atom): 31.60
E above lowest polymorph (meV per atom): 0.0
Total magnetic moment (Bohr magnetons per cell): 5.0

The structure in POSCAR format:
```
TaTcTe3
1.0
5.406 0.000 0.000
0.000 5.406 0.000
0.000 0.000 5.406
Ta Tc Te
1 1 3
Cartesian
0.000 0.000 0.000 Ta
2.703 2.703 2.703 Tc
0.000 0.000 2.703 Te
0.000 2.703 0.000 Te
2.703 0.000 0.000 Te
```

Please write out number 1 again, unchanged.
This record from the Alexandria database describes a relaxed structure of Ta2TcTe. The functional is PBE-GGA.

Summary:
VASP energy (eV per atom): -9.13
Energy relative to the elements, uncorrected (meV per atom): 174
Volume (Å³ per atom): 18.77
Total magnetic moment (Bohr magnetons per cell): 0.0

The structure in POSCAR format:
```
Ta2TcTe
1.0
3.269 0.000 0.000
0.000 4.090 0.000
0.000 0.000 5.615
Ta Tc Te
2 1 1
Cartesian
0.000 0.000 0.000 Ta
1.634 2.045 1.333 Ta
0.000 0.000 2.481 Tc
1.634 2.045 4.098 Te
```